Entry 1:
The following is a DFT calculation (PBE) of a relaxed Dy3YSc crystal.

Summary:
- Formation enthalpy at 0 K: 0.04 eV per atom
- Electronic total energy: -26.388 eV per formula unit

```
data_Dy3YSc
_space_group_name_H-M_alt 'C 1 2/m 1'
_space_group_IT_number 12
_cell_length_a 16.395
_cell_length_b 5.327
_cell_length_c 6.951
_cell_angle_alpha 90.00
_cell_angle_beta 90.02
_cell_angle_gamma 90.00
loop_
_space_group_symop_operation_xyz
'x,y,z'
'-x,-y,-z'
'-x,y,-z'
'x,-y,z'
'x+1/2,y+1/2,z'
'-x+1/2,-y+1/2,-z'
'-x+1/2,y+1/2,-z'
'x+1/2,-y+1/2,z'
loop_
_atom_site_label
_atom_site_type_symbol
_atom_site_fract_x
_atom_site_fract_y
_atom_site_fract_z
Dy1 Dy 0.004 0.000 0.250
Dy2 Dy 0.112 0.500 0.498
Dy3 Dy 0.201 0.000 0.749
Y1 Y 0.113 0.500 0.002
Sc1 Sc 0.201 0.000 0.251
```

---

Entry 2:
The following is a DFT calculation (PBE) of a relaxed Cu4NiRh crystal.

Summary:
- Formation enthalpy at 0 K: 0.12 eV per atom
- Offset from the most stable computed form: 76.4 meV per atom
- Electronic total energy: -28.796 eV per formula unit

```
data_Cu4NiRh
_space_group_name_H-M_alt 'P 1 21/m 1'
_space_group_IT_number 11
_cell_length_a 5.222
_cell_length_b 4.733
_cell_length_c 6.173
_cell_angle_alpha 90.00
_cell_angle_beta 99.49
_cell_angle_gamma 90.00
loop_
_space_group_symop_operation_xyz
'x,y,z'
'-x,-y,-z'
'-x,y+1/2,-z'
'x,-y+1/2,z'
loop_
_atom_site_label
_atom_site_type_symbol
_atom_site_fract_x
_atom_site_fract_y
_atom_site_fract_z
Cu1 Cu 0.066 0.250 0.491
Cu2 Cu 0.277 0.250 0.180
Cu3 Cu 0.305 0.501 0.820
Ni1 Ni 0.098 0.750 0.103
Rh1 Rh 0.404 0.750 0.444
```

---

Entry 3:
The following is a DFT calculation (PBE) of a relaxed CaThGaPt crystal.

Summary:
- Formation enthalpy at 0 K: -0.69 eV per atom
- Electronic total energy: -21.257 eV per formula unit

```
data_CaThGaPt
_space_group_name_H-M_alt 'F -4 3 m'
_space_group_IT_number 216
_space_group_name_Hall 'F -4 2 3'
_cell_length_a 7.236
_cell_length_b 7.236
_cell_length_c 7.236
_cell_angle_alpha 90.00
_cell_angle_beta 90.00
_cell_angle_gamma 90.00
loop_
_atom_site_label
_atom_site_type_symbol
_atom_site_fract_x
_atom_site_fract_y
_atom_site_fract_z
Ca1 Ca 0.000 0.000 0.000
Th1 Th 0.000 0.000 0.500
Ga1 Ga 0.250 0.250 0.750
Pt1 Pt 0.250 0.250 0.250
```

---

Entry 4:
The following is a DFT calculation (PBE) of a relaxed CdInAs2 crystal.

Summary:
- Formation enthalpy at 0 K: 0.13 eV per atom
- Electronic total energy: -12.438 eV per formula unit

```
data_CdInAs2
_space_group_name_H-M_alt 'P 4 m m'
_space_group_IT_number 99
_cell_length_a 3.472
_cell_length_b 3.472
_cell_length_c 7.800
_cell_angle_alpha 90.00
_cell_angle_beta 90.00
_cell_angle_gamma 90.00
loop_
_space_group_symop_operation_xyz
'x,y,z'
'-y,x,z'
'-x,-y,z'
'y,-x,z'
'-x,y,z'
'y,x,z'
'x,-y,z'
'-y,-x,z'
loop_
_atom_site_label
_atom_site_type_symbol
_atom_site_fract_x
_atom_site_fract_y
_atom_site_fract_z
Cd1 Cd 0.000 0.000 0.000
In1 In 0.500 0.500 0.278
As1 As 0.000 0.000 0.584
As2 As 0.500 0.500 0.724
```

---

Entry 5:
The following is a DFT calculation (PBE) of a relaxed AlTcAu crystal.

Summary:
- Formation enthalpy at 0 K: -0.02 eV per atom
- Offset from the most stable computed form: 327.1 meV per atom
- Electronic total energy: -17.444 eV per formula unit

```
data_AlTcAu
_space_group_name_H-M_alt 'P 3 m 1'
_space_group_IT_number 156
_cell_length_a 2.8624
_cell_length_b 2.8624
_cell_length_c 6.6535
_cell_angle_alpha 90.00
_cell_angle_beta 90.00
_cell_angle_gamma 120.00
loop_
_space_group_symop_operation_xyz
'x,y,z'
'-y,x-y,z'
'-x+y,-x,z'
'-y,-x,z'
'-x+y,y,z'
'x,x-y,z'
loop_
_atom_site_label
_atom_site_type_symbol
_atom_site_fract_x
_atom_site_fract_y
_atom_site_fract_z
Al1 Al 0.0000 0.0000 0.0000
Tc1 Tc 0.3333 0.6667 0.6948
Au1 Au 0.6667 0.3333 0.3329
```

---

Entry 6:
The following is a DFT calculation (PBE) of a relaxed Li2ZnRe crystal.

Summary:
- Formation enthalpy at 0 K: 0.19 eV per atom
- Electronic total energy: -16.798 eV per formula unit

```
data_Li2ZnRe
_space_group_name_H-M_alt 'I m m m'
_space_group_IT_number 71
_space_group_name_Hall '-I 2 2'
_cell_length_a 2.543
_cell_length_b 4.691
_cell_length_c 9.569
_cell_angle_alpha 90.00
_cell_angle_beta 90.00
_cell_angle_gamma 90.00
loop_
_atom_site_label
_atom_site_type_symbol
_atom_site_fract_x
_atom_site_fract_y
_atom_site_fract_z
Li1 Li 0.000 0.000 0.239
Zn1 Zn 0.000 0.500 0.500
Re1 Re 0.000 0.500 0.000
```

---

Entry 7:
The following is a DFT calculation (PBE) of a relaxed ZnTcS2O crystal.

Summary:
- Formation energy (no corrections): 0.596 eV/atom
- Electronic total energy: -21.875 eV per formula unit

```
data_ZnTcS2O
_space_group_name_H-M_alt 'P 4/m m m'
_space_group_IT_number 123
_space_group_name_Hall '-P 4 2'
_cell_length_a 4.780
_cell_length_b 4.780
_cell_length_c 3.657
_cell_angle_alpha 90.00
_cell_angle_beta 90.00
_cell_angle_gamma 90.00
loop_
_atom_site_label
_atom_site_type_symbol
_atom_site_fract_x
_atom_site_fract_y
_atom_site_fract_z
Zn1 Zn 0.000 0.000 0.000
Tc1 Tc 0.500 0.500 0.000
S1 S 0.000 0.500 0.500
O1 O 0.500 0.500 0.500
```

---

Entry 8:
The following is a DFT calculation (PBE) of a relaxed BeZn2InMo crystal.

Summary:
- Formation enthalpy at 0 K: 0.82 eV per atom
- Electronic total energy: -15.725 eV per formula unit

```
data_BeZn2InMo
_space_group_name_H-M_alt 'P 4/m m m'
_space_group_IT_number 123
_space_group_name_Hall '-P 4 2'
_cell_length_a 4.266
_cell_length_b 4.266
_cell_length_c 4.654
_cell_angle_alpha 90.00
_cell_angle_beta 90.00
_cell_angle_gamma 90.00
loop_
_atom_site_label
_atom_site_type_symbol
_atom_site_fract_x
_atom_site_fract_y
_atom_site_fract_z
Be1 Be 0.000 0.000 0.000
Zn1 Zn 0.000 0.500 0.000
In1 In 0.000 0.000 0.500
Mo1 Mo 0.500 0.500 0.500
```

---

Entry 9:
The following is a DFT calculation (PBE) of a relaxed TlI crystal.

Summary:
- Offset from the most stable computed form: 91.1 meV per atom
- Formation energy (no corrections): -0.574 eV/atom
- Electronic total energy: -5.065 eV per formula unit

```
data_TlI
_space_group_name_H-M_alt 'P m -3 n'
_space_group_IT_number 223
_space_group_name_Hall '-P 4n 2 3'
_cell_length_a 9.677
_cell_length_b 9.677
_cell_length_c 9.677
_cell_angle_alpha 90.00
_cell_angle_beta 90.00
_cell_angle_gamma 90.00
loop_
_atom_site_label
_atom_site_type_symbol
_atom_site_fract_x
_atom_site_fract_y
_atom_site_fract_z
Tl1 Tl 0.000 0.250 0.500
I1 I 0.000 0.500 0.250
```

---

Entry 10:
The following is a DFT calculation (PBE) of a relaxed Rb2UTe6Pd2 crystal.

Summary:
- Formation energy (no corrections): -0.488 eV/atom
- Electronic total energy: -47.830 eV per formula unit

```
data_Rb2UTe6Pd2
_space_group_name_H-M_alt 'C 1 2/m 1'
_space_group_IT_number 12
_cell_length_a 12.114
_cell_length_b 8.261
_cell_length_c 9.368
_cell_angle_alpha 90.00
_cell_angle_beta 124.16
_cell_angle_gamma 90.00
loop_
_space_group_symop_operation_xyz
'x,y,z'
'-x,-y,-z'
'-x,y,-z'
'x,-y,z'
'x+1/2,y+1/2,z'
'-x+1/2,-y+1/2,-z'
'-x+1/2,y+1/2,-z'
'x+1/2,-y+1/2,z'
loop_
_atom_site_label
_atom_site_type_symbol
_atom_site_fract_x
_atom_site_fract_y
_atom_site_fract_z
Rb1 Rb 0.035 0.000 0.275
U1 U 0.000 0.500 0.000
Te1 Te 0.108 0.500 0.366
Te2 Te 0.233 0.259 0.140
Pd1 Pd 0.131 0.500 0.668
```

---

Entry 11:
The following is a DFT calculation (PBE) of a relaxed AgPRu2 crystal.

Summary:
- Formation enthalpy at 0 K: -0.02 eV per atom
- Offset from the most stable computed form: 0.0 meV per atom
- Electronic total energy: -26.906 eV per formula unit

```
data_AgPRu2
_space_group_name_H-M_alt 'R -3 m'
_space_group_IT_number 166
_space_group_name_Hall '-R 3 2"'
_cell_length_a 2.8549
_cell_length_b 2.8549
_cell_length_c 24.8198
_cell_angle_alpha 90.00
_cell_angle_beta 90.00
_cell_angle_gamma 120.00
loop_
_atom_site_label
_atom_site_type_symbol
_atom_site_fract_x
_atom_site_fract_y
_atom_site_fract_z
Ag1 Ag 0.0000 0.0000 0.0000
P1 P 0.0000 0.0000 0.5000
Ru1 Ru 0.0000 0.0000 0.2351
```

---

Entry 12:
The following is a DFT calculation (PBE) of a relaxed Nd6TlNi crystal.

Summary:
- Formation enthalpy at 0 K: -0.02 eV per atom
- Electronic total energy: -36.928 eV per formula unit

```
data_Nd6TlNi
_space_group_name_H-M_alt 'C 1 2/m 1'
_space_group_IT_number 12
_cell_length_a 8.027
_cell_length_b 10.366
_cell_length_c 6.509
_cell_angle_alpha 90.00
_cell_angle_beta 106.18
_cell_angle_gamma 90.00
loop_
_space_group_symop_operation_xyz
'x,y,z'
'-x,-y,-z'
'-x,y,-z'
'x,-y,z'
'x+1/2,y+1/2,z'
'-x+1/2,-y+1/2,-z'
'-x+1/2,y+1/2,-z'
'x+1/2,-y+1/2,z'
loop_
_atom_site_label
_atom_site_type_symbol
_atom_site_fract_x
_atom_site_fract_y
_atom_site_fract_z
Nd1 Nd 0.117 0.194 0.285
Nd2 Nd 0.225 0.500 0.147
Tl1 Tl 0.000 0.500 0.500
Ni1 Ni 0.000 0.000 0.000
```

---

Q: Look up the electronic total energy of the ninth one.
A: -5.065 eV per formula unit

---

Q: Which value of electronic total energy does entry 2 give?
A: -28.796 eV per formula unit

---

Copy entry 2 word for word.
The following is a DFT calculation (PBE) of a relaxed Cu4NiRh crystal.

Summary:
- Formation enthalpy at 0 K: 0.12 eV per atom
- Offset from the most stable computed form: 76.4 meV per atom
- Electronic total energy: -28.796 eV per formula unit

```
data_Cu4NiRh
_space_group_name_H-M_alt 'P 1 21/m 1'
_space_group_IT_number 11
_cell_length_a 5.222
_cell_length_b 4.733
_cell_length_c 6.173
_cell_angle_alpha 90.00
_cell_angle_beta 99.49
_cell_angle_gamma 90.00
loop_
_space_group_symop_operation_xyz
'x,y,z'
'-x,-y,-z'
'-x,y+1/2,-z'
'x,-y+1/2,z'
loop_
_atom_site_label
_atom_site_type_symbol
_atom_site_fract_x
_atom_site_fract_y
_atom_site_fract_z
Cu1 Cu 0.066 0.250 0.491
Cu2 Cu 0.277 0.250 0.180
Cu3 Cu 0.305 0.501 0.820
Ni1 Ni 0.098 0.750 0.103
Rh1 Rh 0.404 0.750 0.444
```